(1)
{
  "formula": "NaClF5",
  "functional": "PBE",
  "state": "optimized geometry",
  "cell": [[4.374, 0.000, 0.000], [2.186, 5.108, 0.000], [0.061, -0.006, 9.633]],
  "species": ["Na", "Na", "Cl", "Cl", "F", "F", "F", "F", "F", "F", "F", "F", "F", "F"],
  "frac_coords": [[0.000, 0.000, 0.000], [0.000, 0.000, 0.500], [0.319, 0.361, 0.251], [0.681, 0.639, 0.749], [0.167, 0.666, 0.749], [0.196, 0.610, 0.121], [0.198, 0.602, 0.384], [0.444, 0.113, 0.116], [0.446, 0.105, 0.381], [0.554, 0.895, 0.619], [0.556, 0.887, 0.884], [0.802, 0.398, 0.616], [0.804, 0.390, 0.879], [0.833, 0.334, 0.251]],
  "raw_formation_energy_kj_per_mol_fu": -812,
  "magnetic_moment_mub_per_fu": 0.000
}

(2)
{
  "formula": "LaHgW2",
  "functional": "PBE",
  "state": "optimized geometry",
  "cell": [[4.222, 0.000, 0.000], [0.000, 4.222, 0.000], [0.000, 0.000, 9.599]],
  "species": ["La", "La", "Hg", "Hg", "W", "W", "W", "W"],
  "frac_coords": [[0.000, 0.000, 0.000], [0.500, 0.500, 0.500], [0.000, 0.000, 0.500], [0.500, 0.500, 0.000], [0.000, 0.500, 0.250], [0.000, 0.500, 0.750], [0.500, 0.000, 0.250], [0.500, 0.000, 0.750]],
  "magnetic_moment_mub_per_fu": 0.000,
  "delta_e_f_kj_per_mol_atoms": 97.55
}

(3)
{
  "formula": "CsRbAsSe3",
  "functional": "PBE",
  "state": "optimized geometry",
  "cell": [[6.273, -4.325, 0.000], [6.273, 4.325, 0.000], [-1.807, 0.000, 9.291]],
  "species": ["Cs", "Cs", "Rb", "Rb", "As", "As", "Se", "Se", "Se", "Se", "Se", "Se"],
  "frac_coords": [[0.148, 0.148, 0.412], [0.852, 0.852, 0.588], [0.267, 0.733, 0.000], [0.733, 0.267, 0.000], [0.474, 0.474, 0.359], [0.526, 0.526, 0.641], [0.148, 0.595, 0.294], [0.364, 0.364, 0.731], [0.405, 0.852, 0.706], [0.595, 0.148, 0.294], [0.636, 0.636, 0.269], [0.852, 0.405, 0.706]],
  "raw_formation_energy_kj_per_mol_fu": -409,
  "magnetic_moment_mub_per_fu": 0.000
}

(4)
{
  "formula": "SiNi3B",
  "functional": "PBE",
  "state": "optimized geometry",
  "cell": [[5.847, -1.419, 0.000], [5.847, 1.419, 0.000], [-0.621, 0.000, 6.089]],
  "species": ["Si", "Si", "Ni", "Ni", "Ni", "Ni", "Ni", "Ni", "B", "B"],
  "frac_coords": [[0.099, 0.099, 0.419], [0.901, 0.901, 0.581], [0.106, 0.106, 0.053], [0.245, 0.245, 0.698], [0.446, 0.446, 0.294], [0.554, 0.554, 0.706], [0.755, 0.755, 0.302], [0.894, 0.894, 0.947], [0.290, 0.290, 0.060], [0.710, 0.710, 0.940]],
  "raw_formation_energy_kj_per_mol_fu": -182,
  "magnetic_moment_mub_per_fu": 0.000,
  "relative_energy_mev_per_atom": 0
}

(5)
{
  "formula": "Mg4AsN",
  "functional": "PBE",
  "state": "optimized geometry",
  "cell": [[4.146, 0.000, 0.000], [0.000, 4.146, 0.000], [0.000, 0.000, 6.312]],
  "species": ["Mg", "Mg", "Mg", "Mg", "As", "N"],
  "frac_coords": [[0.000, 0.500, 0.213], [0.000, 0.500, 0.787], [0.500, 0.000, 0.213], [0.500, 0.000, 0.787], [0.000, 0.000, 0.500], [0.500, 0.500, 0.000]],
  "raw_formation_energy_kj_per_mol_fu": -76,
  "magnetic_moment_mub_per_fu": 0.000
}

(6)
{
  "formula": "TmZn9Co2",
  "functional": "PBE",
  "state": "optimized geometry",
  "cell": [[-5.150, 5.150, 3.371], [5.150, -5.150, 3.371], [5.150, 5.150, -3.371]],
  "species": ["Tm", "Tm", "Zn", "Zn", "Zn", "Zn", "Zn", "Zn", "Zn", "Zn", "Zn", "Zn", "Zn", "Zn", "Zn", "Zn", "Zn", "Zn", "Zn", "Zn", "Co", "Co", "Co", "Co"],
  "frac_coords": [[0.375, 0.625, 0.750], [0.625, 0.375, 0.250], [0.125, 0.875, 0.250], [0.139, 0.564, 0.332], [0.139, 0.807, 0.575], [0.193, 0.268, 0.332], [0.193, 0.861, 0.925], [0.268, 0.193, 0.832], [0.268, 0.436, 0.075], [0.436, 0.268, 0.575], [0.436, 0.861, 0.168], [0.564, 0.139, 0.832], [0.564, 0.732, 0.425], [0.732, 0.564, 0.925], [0.732, 0.807, 0.168], [0.807, 0.139, 0.075], [0.807, 0.732, 0.668], [0.861, 0.193, 0.425], [0.861, 0.436, 0.668], [0.875, 0.125, 0.750], [0.000, 0.000, 0.000], [0.000, 0.000, 0.500], [0.000, 0.500, 0.000], [0.500, 0.000, 0.500]],
  "magnetic_moment_mub_per_fu": 0.206,
  "delta_e_f_kj_per_mol_atoms": -13.56
}

(7)
{
  "formula": "Cd3Rh2Au",
  "functional": "PBE",
  "state": "optimized geometry",
  "cell": [[4.390, 0.000, 0.000], [0.000, 13.126, 0.000], [0.000, 0.000, 3.661]],
  "species": ["Cd", "Cd", "Cd", "Cd", "Cd", "Cd", "Rh", "Rh", "Rh", "Rh", "Au", "Au"],
  "frac_coords": [[0.000, 0.000, 0.000], [0.000, 0.327, 0.000], [0.000, 0.673, 0.000], [0.500, 0.173, 0.000], [0.500, 0.500, 0.000], [0.500, 0.827, 0.000], [0.000, 0.162, 0.500], [0.000, 0.838, 0.500], [0.500, 0.338, 0.500], [0.500, 0.662, 0.500], [0.000, 0.500, 0.500], [0.500, 0.000, 0.500]],
  "magnetic_moment_mub_per_fu": 0.000,
  "relative_energy_mev_per_atom": 0,
  "delta_e_f_kj_per_mol_atoms": -13.74
}

(8)
{
  "formula": "FeTc2As8",
  "functional": "PBE",
  "state": "optimized geometry",
  "cell": [[5.206, -4.497, 0.000], [5.206, 4.497, 0.000], [-0.234, 0.000, 4.847]],
  "species": ["Fe", "Tc", "Tc", "As", "As", "As", "As", "As", "As", "As", "As"],
  "frac_coords": [[0.000, 0.000, 0.000], [0.215, 0.215, 0.743], [0.785, 0.785, 0.257], [0.145, 0.726, 0.274], [0.215, 0.215, 0.247], [0.274, 0.855, 0.726], [0.453, 0.453, 0.755], [0.547, 0.547, 0.245], [0.726, 0.145, 0.274], [0.785, 0.785, 0.753], [0.855, 0.274, 0.726]],
  "magnetic_moment_mub_per_fu": 1.712,
  "delta_e_f_kj_per_mol_atoms": 15.04
}

(9)
{
  "formula": "CsMgScI6",
  "functional": "PBE",
  "state": "optimized geometry",
  "cell": [[7.568, 0.000, 0.000], [-3.784, 6.554, 0.000], [0.000, 0.000, 8.803]],
  "species": ["Cs", "Mg", "Sc", "I", "I", "I", "I", "I", "I"],
  "frac_coords": [[0.000, 0.000, 0.000], [0.667, 0.333, 0.500], [0.333, 0.667, 0.500], [0.003, 0.371, 0.691], [0.003, 0.632, 0.309], [0.368, 0.371, 0.309], [0.368, 0.997, 0.691], [0.629, 0.632, 0.691], [0.629, 0.997, 0.309]],
  "raw_formation_energy_kj_per_mol_fu": -1078,
  "magnetic_moment_mub_per_fu": 0.000
}

(10)
{
  "formula": "Pm3Pt2Au3",
  "functional": "PBE",
  "state": "optimized geometry",
  "cell": [[2.015, -5.254, 0.000], [2.015, 5.254, 0.000], [0.000, 0.000, 17.465]],
  "species": ["Pm", "Pm", "Pm", "Pm", "Pm", "Pm", "Pt", "Pt", "Pt", "Pt", "Au", "Au", "Au", "Au", "Au", "Au"],
  "frac_coords": [[0.064, 0.936, 0.604], [0.064, 0.936, 0.896], [0.326, 0.674, 0.750], [0.674, 0.326, 0.250], [0.936, 0.064, 0.104], [0.936, 0.064, 0.396], [0.227, 0.773, 0.125], [0.227, 0.773, 0.375], [0.773, 0.227, 0.625], [0.773, 0.227, 0.875], [0.366, 0.634, 0.527], [0.366, 0.634, 0.973], [0.397, 0.603, 0.250], [0.603, 0.397, 0.750], [0.634, 0.366, 0.027], [0.634, 0.366, 0.473]],
  "magnetic_moment_mub_per_fu": 0.000,
  "relative_energy_mev_per_atom": 0,
  "delta_e_f_kj_per_mol_atoms": -88.86
}

(11)
{
  "formula": "TbDy3N3",
  "functional": "PBE",
  "state": "optimized geometry",
  "cell": [[4.921, 0.000, 0.000], [0.000, 4.921, 0.000], [0.000, 0.000, 4.921]],
  "species": ["Tb", "Dy", "Dy", "Dy", "N", "N", "N"],
  "frac_coords": [[0.000, 0.000, 0.000], [0.000, 0.500, 0.500], [0.500, 0.000, 0.500], [0.500, 0.500, 0.000], [0.000, 0.000, 0.500], [0.000, 0.500, 0.000], [0.500, 0.000, 0.000]],
  "raw_formation_energy_kj_per_mol_fu": -934,
  "magnetic_moment_mub_per_fu": 0.000
}

(12)
{
  "formula": "HfNpAl",
  "functional": "PBE",
  "state": "optimized geometry",
  "cell": [[2.007, 1.159, 8.970], [-2.007, 1.159, 8.970], [0.000, -2.317, 8.970]],
  "species": ["Hf", "Hf", "Np", "Np", "Al", "Al"],
  "frac_coords": [[0.067, 0.067, 0.067], [0.933, 0.933, 0.933], [0.185, 0.185, 0.185], [0.815, 0.815, 0.815], [0.326, 0.326, 0.326], [0.674, 0.674, 0.674]],
  "magnetic_moment_mub_per_fu": 1.555,
  "delta_e_f_kj_per_mol_atoms": 24.56
}

(13)
{
  "formula": "Ba2LiTlS",
  "functional": "PBE",
  "state": "optimized geometry",
  "cell": [[6.254, 0.000, 0.000], [0.000, 6.254, 0.000], [0.000, 0.000, 4.560]],
  "species": ["Ba", "Ba", "Li", "Tl", "S"],
  "frac_coords": [[0.000, 0.500, 0.000], [0.500, 0.000, 0.000], [0.000, 0.000, 0.500], [0.500, 0.500, 0.500], [0.000, 0.000, 0.000]],
  "raw_formation_energy_kj_per_mol_fu": -439,
  "magnetic_moment_mub_per_fu": 0.000
}

(14)
{
  "formula": "Tb4Pm8Er3",
  "functional": "PBE",
  "state": "optimized geometry",
  "cell": [[6.859, -6.077, 0.000], [6.859, 6.077, 0.000], [-3.234, 0.000, 6.062]],
  "species": ["Tb", "Tb", "Tb", "Tb", "Pm", "Pm", "Pm", "Pm", "Pm", "Pm", "Pm", "Pm", "Er", "Er", "Er"],
  "frac_coords": [[0.000, 0.000, 0.000], [0.000, 0.000, 0.500], [0.000, 0.500, 0.000], [0.500, 0.000, 0.000], [0.245, 0.245, 0.290], [0.248, 0.752, 0.500], [0.296, 0.704, 0.000], [0.298, 0.298, 0.827], [0.702, 0.702, 0.173], [0.704, 0.296, 0.000], [0.752, 0.248, 0.500], [0.755, 0.755, 0.710], [0.000, 0.500, 0.500], [0.500, 0.000, 0.500], [0.500, 0.500, 0.500]],
  "magnetic_moment_mub_per_fu": 0.000,
  "delta_e_f_kj_per_mol_atoms": 32.99
}

(15)
{
  "formula": "Mn2OsCl",
  "functional": "PBE",
  "state": "optimized geometry",
  "cell": [[3.602, 0.000, 0.000], [0.000, 3.602, 0.000], [0.000, 0.000, 9.654]],
  "species": ["Mn", "Mn", "Mn", "Mn", "Os", "Os", "Cl", "Cl"],
  "frac_coords": [[0.000, 0.000, 0.000], [0.000, 0.500, 0.250], [0.500, 0.000, 0.750], [0.500, 0.500, 0.500], [0.000, 0.500, 0.750], [0.500, 0.000, 0.250], [0.000, 0.000, 0.500], [0.500, 0.500, 0.000]],
  "raw_formation_energy_kj_per_mol_fu": 344,
  "magnetic_moment_mub_per_fu": 7.449,
  "relative_energy_mev_per_atom": 810
}

(16)
{
  "formula": "Cs7Rb4Au",
  "functional": "PBE",
  "state": "optimized geometry",
  "cell": [[8.411, -3.688, 0.000], [8.411, 3.688, 0.000], [-4.607, 0.000, 18.153]],
  "species": ["Cs", "Cs", "Cs", "Cs", "Cs", "Cs", "Cs", "Rb", "Rb", "Rb", "Rb", "Au"],
  "frac_coords": [[0.000, 0.000, 0.000], [0.089, 0.089, 0.645], [0.285, 0.285, 0.913], [0.362, 0.362, 0.550], [0.638, 0.638, 0.450], [0.715, 0.715, 0.087], [0.911, 0.911, 0.355], [0.184, 0.184, 0.267], [0.457, 0.457, 0.175], [0.543, 0.543, 0.825], [0.816, 0.816, 0.733], [0.500, 0.500, 0.000]],
  "magnetic_moment_mub_per_fu": 0.000,
  "delta_e_f_kj_per_mol_atoms": -5.47
}

(17)
{
  "formula": "Ce2PrP2Rh7",
  "functional": "PBE",
  "state": "optimized geometry",
  "cell": [[2.864, -2.834, 0.000], [2.864, 2.834, 0.000], [-1.882, 0.000, 13.246]],
  "species": ["Ce", "Ce", "Pr", "P", "P", "Rh", "Rh", "Rh", "Rh", "Rh", "Rh", "Rh"],
  "frac_coords": [[0.106, 0.106, 0.353], [0.894, 0.894, 0.647], [0.000, 0.000, 0.000], [0.417, 0.417, 0.744], [0.583, 0.583, 0.256], [0.056, 0.555, 0.171], [0.358, 0.358, 0.571], [0.445, 0.944, 0.829], [0.500, 0.500, 0.000], [0.555, 0.056, 0.171], [0.642, 0.642, 0.429], [0.944, 0.445, 0.829]],
  "magnetic_moment_mub_per_fu": 0.000,
  "delta_e_f_kj_per_mol_atoms": -82.89
}

(18)
{
  "formula": "LaEr2TmTl4",
  "functional": "PBE",
  "state": "optimized geometry",
  "cell": [[2.699, 1.558, 8.893], [-2.699, 1.558, 8.893], [0.000, -3.116, 8.893]],
  "species": ["La", "Er", "Er", "Tm", "Tl", "Tl", "Tl", "Tl"],
  "frac_coords": [[0.000, 0.000, 0.000], [0.249, 0.249, 0.249], [0.751, 0.751, 0.751], [0.500, 0.500, 0.500], [0.128, 0.128, 0.128], [0.378, 0.378, 0.378], [0.622, 0.622, 0.622], [0.872, 0.872, 0.872]],
  "magnetic_moment_mub_per_fu": 0.000,
  "delta_e_f_kj_per_mol_atoms": -31.69
}

(19)
{
  "formula": "DyY2Se4",
  "functional": "PBE",
  "state": "optimized geometry",
  "cell": [[1.983, -6.733, 0.000], [1.983, 6.733, 0.000], [0.000, 0.000, 13.808]],
  "species": ["Dy", "Dy", "Y", "Y", "Y", "Y", "Se", "Se", "Se", "Se", "Se", "Se", "Se", "Se"],
  "frac_coords": [[0.127, 0.873, 0.750], [0.873, 0.127, 0.250], [0.370, 0.630, 0.570], [0.370, 0.630, 0.930], [0.630, 0.370, 0.070], [0.630, 0.370, 0.430], [0.000, 0.000, 0.000], [0.000, 0.000, 0.500], [0.278, 0.722, 0.123], [0.278, 0.722, 0.377], [0.472, 0.528, 0.750], [0.528, 0.472, 0.250], [0.722, 0.278, 0.623], [0.722, 0.278, 0.877]],
  "raw_formation_energy_kj_per_mol_fu": -1243,
  "magnetic_moment_mub_per_fu": 0.000,
  "relative_energy_mev_per_atom": 0
}

(20)
{
  "formula": "ZrSi2Br",
  "functional": "PBE",
  "state": "optimized geometry",
  "cell": [[4.044, 0.000, 0.000], [0.000, 4.044, 0.000], [0.000, 0.000, 9.331]],
  "species": ["Zr", "Zr", "Si", "Si", "Si", "Si", "Br", "Br"],
  "frac_coords": [[0.000, 0.000, 0.000], [0.500, 0.500, 0.500], [0.000, 0.000, 0.500], [0.000, 0.500, 0.250], [0.500, 0.000, 0.750], [0.500, 0.500, 0.000], [0.000, 0.500, 0.750], [0.500, 0.000, 0.250]],
  "raw_formation_energy_kj_per_mol_fu": 113,
  "magnetic_moment_mub_per_fu": 0.000,
  "relative_energy_mev_per_atom": 670
}

(21)
{
  "formula": "BeHg2Sb",
  "functional": "PBE",
  "state": "optimized geometry",
  "cell": [[3.196, 0.000, 0.000], [0.000, 3.792, 0.000], [0.000, 0.000, 8.288]],
  "species": ["Be", "Hg", "Hg", "Sb"],
  "frac_coords": [[0.000, 0.000, 0.000], [0.000, 0.000, 0.712], [0.500, 0.500, 0.458], [0.500, 0.500, 0.098]],
  "raw_formation_energy_kj_per_mol_fu": 105,
  "magnetic_moment_mub_per_fu": 0.000,
  "relative_energy_mev_per_atom": 105
}